Density functional theory data (PBEsol) for a relaxed structure of NaNbC3.

a = 3.863 Å, b = 3.863 Å, c = 3.863 Å
α = 90.00°, β = 90.00°, γ = 90.00°
Space group Pm-3m (No. 221)
Unique sites:
1 Na 0.000 0.000 0.000 x1
2 Nb 0.500 0.500 0.500 x1
3 C 0.000 0.000 0.500 x3

Output
The calculation puts the magnetic moment at 0.000 μB per cell. The total energy comes out at -0.1830 hartree per atom.

---

Density functional theory data (PBEsol) for a relaxed structure of ZrRe2Tc.

a = 3.120 Å, b = 4.528 Å, c = 8.925 Å
α = 90.00°, β = 90.00°, γ = 90.00°
Space group Imm2 (No. 44)
Unique sites:
1 Zr 0.000 0.000 0.000 x2
2 Re 0.000 0.000 0.498 x2
3 Re 0.000 0.500 0.757 x2
4 Tc 0.000 0.500 0.246 x2

Output
Its energy relative to the lowest polymorph listed for this composition is 0.000 eV/atom. The calculation puts the magnetic moment at 0.000 μB per cell. The total energy comes out at -0.4323 hartree per atom.

---

Density functional theory data (PBEsol) for a relaxed structure of KBaRh2.

a = 7.069 Å, b = 4.402 Å, c = 9.361 Å
α = 90.00°, β = 108.25°, γ = 90.00°
Space group Cm (No. 8)
Unique sites:
1 K 0.000 0.000 0.000 x2
2 Ba 0.209 0.000 0.502 x2
3 Rh 0.290 0.500 0.266 x2
4 Rh 0.431 0.000 0.266 x2

Output
Its energy relative to the lowest polymorph listed for this composition is 0.000 eV/atom. The calculation puts the magnetic moment at 0.002 μB per cell. The total energy comes out at -0.1719 hartree per atom.

---

Density functional theory data (PBEsol) for a relaxed structure of SrCrP.

a = 6.497 Å, b = 6.497 Å, c = 6.497 Å
α = 90.00°, β = 90.00°, γ = 90.00°
Space group F-43m (No. 216)
Unique sites:
1 Sr 0.000 0.000 0.000 x4
2 Cr 0.250 0.250 0.750 x4
3 P 0.000 0.000 0.500 x4

Output
The calculation puts the magnetic moment at 19.748 μB per cell. The total energy comes out at -0.2141 hartree per atom.

---

Density functional theory data (PBEsol) for a relaxed structure of BiO2.

a = 5.117 Å, b = 5.117 Å, c = 3.531 Å
α = 90.00°, β = 90.00°, γ = 90.00°
Space group P4_2/mnm (No. 136)
Unique sites:
1 Bi 0.000 0.000 0.000 x2
2 O 0.193 0.193 0.500 x4

Output
Its energy relative to the lowest polymorph listed for this composition is 0.003 eV/atom. The calculation puts the magnetic moment at 0.000 μB per cell. The uncorrected formation energy is -987 meV/atom. The total energy comes out at -0.2174 hartree per atom.

---

Density functional theory data (PBEsol) for a relaxed structure of Al2TcBr.

a = 3.1287 Å, b = 3.1287 Å, c = 23.8915 Å
α = 90.00°, β = 90.00°, γ = 120.00°
Space group R-3m (No. 166, hexagonal axes)
Unique sites:
1 Al 0.0000 0.0000 0.2420 x6
2 Tc 0.0000 0.0000 0.5000 x3
3 Br 0.0000 0.0000 0.0000 x3

Output
Its energy relative to the lowest polymorph listed for this composition is 0.000 eV/atom. The calculation puts the magnetic moment at 0.662 μB per cell. The uncorrected formation energy is -96 meV/atom. The total energy comes out at -0.1994 hartree per atom.